The following is a PBE calculation of a geometry-optimized PrSbIr structure, from OQMD.

Lattice parameters (Å, degrees): 4.1629 5.9814 6.9934 102.05 90.06 110.33
Space group P-1 (No. 2)
Symmetry-distinct sites (fractional):
Pr: 0.1566 0.3124 0.1842 [2 per cell]
Sb: 0.1113 0.2240 0.6568 [2 per cell]
Ir: 0.4386 0.8768 0.1285 [2 per cell]

Calculated values
The electronic total energy is -6.537 eV/atom. As for the volume: 26.5 Å³ per atom.

***

The following is a PBE calculation of a geometry-optimized HoErNi2Sn2 structure, from OQMD.

Lattice parameters (Å, degrees): 4.4833 4.4833 7.0621 90.00 90.00 120.00
Space group P3m1 (No. 156)
Symmetry-distinct sites (fractional):
Ho: 0.0000 0.0000 0.0000 [1 per cell]
Er: 0.0000 0.0000 0.5003 [1 per cell]
Ni: 0.3333 0.6667 0.3119 [1 per cell]
Ni: 0.6667 0.3333 0.8068 [1 per cell]
Sn: 0.3333 0.6667 0.7338 [1 per cell]
Sn: 0.6667 0.3333 0.2372 [1 per cell]

Calculated values
The electronic total energy is -5.347 eV/atom. As for the volume: 20.5 Å³ per atom.

***

The following is a PBE calculation of a geometry-optimized Li3Er4Mo structure, from OQMD.

Lattice parameters (Å, degrees): 7.5902 7.5902 6.3940 90.00 90.00 90.00
Space group I-42m (No. 121)
Symmetry-distinct sites (fractional):
Li: 0.0000 0.0000 0.0000 [2 per cell]
Li: 0.0000 0.5000 0.2500 [4 per cell]
Er: 0.2470 0.2470 0.3785 [8 per cell]
Mo: 0.0000 0.0000 0.5000 [2 per cell]

Calculated values
The electronic total energy is -3.886 eV/atom. As for the volume: 23.0 Å³ per atom.

***

The following is a PBE calculation of a geometry-optimized NaHfSiS3 structure, from OQMD.

Lattice parameters (Å, degrees): 3.5366 14.5382 8.9877 90.00 90.00 90.00
Space group Cmcm (No. 63)
Symmetry-distinct sites (fractional):
Na: 0.0000 0.2426 0.2500 [4 per cell]
Hf: 0.0000 0.0000 0.0000 [4 per cell]
Si: 0.0000 0.4679 0.7500 [4 per cell]
S: 0.0000 0.1027 0.7500 [4 per cell]
S: 0.0000 0.3699 0.5557 [8 per cell]

Calculated values
The electronic total energy is -5.551 eV/atom. As for the volume: 19.3 Å³ per atom.

***

The following is a PBE calculation of a geometry-optimized KRbHo2As2 structure, from OQMD.

Lattice parameters (Å, degrees): 4.9913 4.9913 8.1701 90.00 90.00 90.00
Space group P4mm (No. 99)
Symmetry-distinct sites (fractional):
K: 0.0000 0.0000 0.0000 [1 per cell]
Rb: 0.5000 0.5000 0.7527 [1 per cell]
Ho: 0.0000 0.5000 0.3714 [2 per cell]
As: 0.0000 0.0000 0.5534 [1 per cell]
As: 0.5000 0.5000 0.1942 [1 per cell]

Calculated values
The electronic total energy is -4.134 eV/atom. As for the volume: 33.9 Å³ per atom.

***

The following is a PBE calculation of a geometry-optimized ZnPbW4C2 structure, from OQMD.

Lattice parameters (Å, degrees): 3.1458 3.1458 13.6524 90.00 90.00 120.00
Space group P-6m2 (No. 187)
Symmetry-distinct sites (fractional):
Zn: 0.0000 0.0000 0.0000 [1 per cell]
Pb: 0.6667 0.3333 0.5000 [1 per cell]
W: 0.0000 0.0000 0.3174 [2 per cell]
W: 0.6667 0.3333 0.1528 [2 per cell]
C: 0.3333 0.6667 0.2368 [2 per cell]

Calculated values
The electronic total energy is -9.050 eV/atom. As for the volume: 14.6 Å³ per atom.

***

The following is a PBE calculation of a geometry-optimized MgZrTlTe3 structure, from OQMD.

Lattice parameters (Å, degrees): 8.5572 4.1704 11.3934 90.00 111.57 90.00
Space group P2_1/m (No. 11)
Symmetry-distinct sites (fractional):
Mg: 0.0448 0.2500 0.1207 [2 per cell]
Zr: 0.0331 0.7500 0.3733 [2 per cell]
Tl: 0.4613 0.7500 0.1964 [2 per cell]
Te: 0.1859 0.2500 0.9268 [2 per cell]
Te: 0.2148 0.7500 0.6392 [2 per cell]
Te: 0.2796 0.2500 0.3618 [2 per cell]

Calculated values
As for the volume: 31.5 Å³ per atom. As for the excess energy over the best structure of this formula in the dataset: 0.0000 eV per atom.

***

The following is a PBE calculation of a geometry-optimized TaSi2 structure, from OQMD.

Lattice parameters (Å, degrees): 4.9806 4.9806 7.8851 90.00 90.00 120.00
Space group P6_3/mmc (No. 194)
Symmetry-distinct sites (fractional):
Ta: 0.3333 0.6667 0.0545 [4 per cell]
Si: 0.0000 0.0000 0.0000 [2 per cell]
Si: 0.1715 0.3430 0.7500 [6 per cell]

Calculated values
The electronic total energy is -7.476 eV/atom. As for the volume: 14.1 Å³ per atom.

***

The following is a PBE calculation of a geometry-optimized ZrTcNO structure, from OQMD.

Lattice parameters (Å, degrees): 6.3001 6.9956 4.6014 90.00 90.00 90.00
Space group Pca2_1 (No. 29)
Symmetry-distinct sites (fractional):
Zr: 0.0716 0.1412 0.0000 [4 per cell]
Tc: 0.1602 0.6732 0.9935 [4 per cell]
N: 0.0843 0.1402 0.5027 [4 per cell]
O: 0.0140 0.5706 0.5987 [4 per cell]

Calculated values
As for the volume: 12.7 Å³ per atom. As for the excess energy over the best structure of this formula in the dataset: 0.4466 eV per atom.

***

The following is a PBE calculation of a geometry-optimized PuNpNb structure, from OQMD.

Lattice parameters (Å, degrees): 6.1676 6.1676 6.1676 90.00 90.00 90.00
Space group F-43m (No. 216)
Symmetry-distinct sites (fractional):
Pu: 0.0000 0.0000 0.0000 [4 per cell]
Np: 0.2500 0.2500 0.7500 [4 per cell]
Nb: 0.0000 0.0000 0.5000 [4 per cell]

Calculated values
As for the volume: 19.6 Å³ per atom. For the energy of formation, the calculation gives 2.3 eV/f.u. As for the excess energy over the best structure of this formula in the dataset: 0.0000 eV per atom.

***

The following is a PBE calculation of a geometry-optimized DyBOs structure, from OQMD.

Lattice parameters (Å, degrees): 6.1951 6.1951 6.1951 90.00 90.00 90.00
Space group F-43m (No. 216)
Symmetry-distinct sites (fractional):
Dy: 0.0000 0.0000 0.0000 [4 per cell]
B: 0.2500 0.2500 0.7500 [4 per cell]
Os: 0.2500 0.2500 0.2500 [4 per cell]

Calculated values
As for the volume: 19.8 Å³ per atom. As for the excess energy over the best structure of this formula in the dataset: 1.4412 eV per atom.

***

The following is a PBE calculation of a geometry-optimized Dy2AlTlCd2 structure, from OQMD.

Lattice parameters (Å, degrees): 4.7744 4.7744 7.3656 90.00 90.00 120.00
Space group P3m1 (No. 156)
Symmetry-distinct sites (fractional):
Dy: 0.0000 0.0000 0.0000 [1 per cell]
Dy: 0.0000 0.0000 0.4900 [1 per cell]
Al: 0.6667 0.3333 0.2100 [1 per cell]
Tl: 0.3333 0.6667 0.6991 [1 per cell]
Cd: 0.3333 0.6667 0.2687 [1 per cell]
Cd: 0.6667 0.3333 0.8041 [1 per cell]

Calculated values
The electronic total energy is -3.195 eV/atom. As for the volume: 24.2 Å³ per atom.

***

The following is a PBE calculation of a geometry-optimized HoErSi4Ni2 structure, from OQMD.

Lattice parameters (Å, degrees): 3.9526 3.9607 16.3799 90.00 90.00 90.00
Space group Amm2 (No. 38)
Symmetry-distinct sites (fractional):
Ho: 0.0000 0.0000 0.0000 [2 per cell]
Er: 0.5000 0.0000 0.7892 [2 per cell]
Si: 0.0000 0.0000 0.3549 [2 per cell]
Si: 0.0000 0.0000 0.6448 [2 per cell]
Si: 0.5000 0.0000 0.1450 [2 per cell]
Si: 0.5000 0.0000 0.4343 [2 per cell]
Ni: 0.0000 0.0000 0.2177 [2 per cell]
Ni: 0.5000 0.0000 0.5719 [2 per cell]

Calculated values
The electronic total energy is -6.076 eV/atom. As for the volume: 16.0 Å³ per atom.

***

The following is a PBE calculation of a geometry-optimized MgHgTeO structure, from OQMD.

Lattice parameters (Å, degrees): 3.7163 14.9015 6.2749 90.00 90.00 90.00
Space group Cmc2_1 (No. 36)
Symmetry-distinct sites (fractional):
Mg: 0.0000 0.1364 0.0000 [4 per cell]
Hg: 0.0000 0.4423 0.9335 [4 per cell]
Te: 0.0000 0.1910 0.5596 [4 per cell]
O: 0.0000 0.4134 0.5385 [4 per cell]

Calculated values
As for the volume: 21.7 Å³ per atom. As for the excess energy over the best structure of this formula in the dataset: 0.3383 eV per atom.

***

The following is a PBE calculation of a geometry-optimized Dy4Er2LuTe2Ir2 structure, from OQMD.

Lattice parameters (Å, degrees): 3.9241 15.6803 9.4474 90.00 90.00 90.00
Space group Imm2 (No. 44)
Symmetry-distinct sites (fractional):
Dy: 0.0000 0.1316 0.0000 [4 per cell]
Dy: 0.0000 0.3539 0.1489 [4 per cell]
Er: 0.0000 0.3156 0.7897 [4 per cell]
Lu: 0.0000 0.0000 0.4176 [2 per cell]
Te: 0.0000 0.0000 0.7543 [2 per cell]
Te: 0.0000 0.5000 0.6537 [2 per cell]
Ir: 0.0000 0.2376 0.4893 [4 per cell]

Calculated values
As for the volume: 26.4 Å³ per atom. As for the excess energy over the best structure of this formula in the dataset: 0.0000 eV per atom.

***

The following is a PBE calculation of a geometry-optimized GdTlIn structure, from OQMD.

Lattice parameters (Å, degrees): 7.1086 7.1086 7.1086 90.00 90.00 90.00
Space group F-43m (No. 216)
Symmetry-distinct sites (fractional):
Gd: 0.0000 0.0000 0.0000 [4 per cell]
Tl: 0.2500 0.2500 0.2500 [4 per cell]
In: 0.0000 0.0000 0.5000 [4 per cell]

Calculated values
As for the volume: 29.9 Å³ per atom. As for the excess energy over the best structure of this formula in the dataset: 0.0000 eV per atom.

***

The following is a PBE calculation of a geometry-optimized Er2Sn2O5 structure, from OQMD.

Lattice parameters (Å, degrees): 4.2216 4.2216 6.8899 90.00 90.00 90.00
Space group P4/mmm (No. 123)
Symmetry-distinct sites (fractional):
Er: 0.0000 0.0000 0.0000 [1 per cell]
Er: 0.0000 0.0000 0.5000 [1 per cell]
Sn: 0.5000 0.5000 0.2067 [2 per cell]
O: 0.0000 0.5000 0.2467 [4 per cell]
O: 0.5000 0.5000 0.5000 [1 per cell]

Calculated values
As for the volume: 13.6 Å³ per atom. As for the excess energy over the best structure of this formula in the dataset: 0.5189 eV per atom.

***

The following is a PBE calculation of a geometry-optimized BeGeOs2 structure, from OQMD.

Lattice parameters (Å, degrees): 6.0090 6.0090 6.0090 90.00 90.00 90.00
Space group F-43m (No. 216)
Symmetry-distinct sites (fractional):
Be: 0.0000 0.0000 0.0000 [4 per cell]
Ge: 0.2500 0.2500 0.7500 [4 per cell]
Os: 0.0000 0.0000 0.5000 [4 per cell]
Os: 0.2500 0.2500 0.2500 [4 per cell]

Calculated values
The electronic total energy is -7.220 eV/atom. As for the volume: 13.6 Å³ per atom.

***

The following is a PBE calculation of a geometry-optimized SrPmTl structure, from OQMD.

Lattice parameters (Å, degrees): 7.7514 7.7514 7.7514 90.00 90.00 90.00
Space group F-43m (No. 216)
Symmetry-distinct sites (fractional):
Sr: 0.0000 0.0000 0.0000 [4 per cell]
Pm: 0.0000 0.0000 0.5000 [4 per cell]
Tl: 0.2500 0.2500 0.7500 [4 per cell]

Calculated values
As for the volume: 38.8 Å³ per atom. As for the excess energy over the best structure of this formula in the dataset: 0.0000 eV per atom.

***

The following is a PBE calculation of a geometry-optimized GaFeGe2 structure, from OQMD.

Lattice parameters (Å, degrees): 6.4273 6.4273 6.4273 90.00 90.00 90.00
Space group F-43m (No. 216)
Symmetry-distinct sites (fractional):
Ga: 0.0000 0.0000 0.0000 [4 per cell]
Fe: 0.2500 0.2500 0.2500 [4 per cell]
Ge: 0.0000 0.0000 0.5000 [4 per cell]
Ge: 0.2500 0.2500 0.7500 [4 per cell]

Calculated values
The electronic total energy is -4.746 eV/atom. As for the volume: 16.6 Å³ per atom.

***

The following is a PBE calculation of a geometry-optimized TmZn structure, from OQMD.

Lattice parameters (Å, degrees): 3.5141 3.5141 3.5141 90.00 90.00 90.00
Space group Pm-3m (No. 221)
Symmetry-distinct sites (fractional):
Tm: 0.0000 0.0000 0.0000 [1 per cell]
Zn: 0.5000 0.5000 0.5000 [1 per cell]

Calculated values
As for the volume: 21.7 Å³ per atom. For the energy of formation, the calculation gives -0.7 eV/f.u.

***

The following is a PBE calculation of a geometry-optimized NaTbEr structure, from OQMD.

Lattice parameters (Å, degrees): 7.4913 7.4913 7.4913 90.00 90.00 90.00
Space group F-43m (No. 216)
Symmetry-distinct sites (fractional):
Na: 0.0000 0.0000 0.0000 [4 per cell]
Tb: 0.2500 0.2500 0.2500 [4 per cell]
Er: 0.2500 0.2500 0.7500 [4 per cell]

Calculated values
As for the volume: 35.0 Å³ per atom. As for the excess energy over the best structure of this formula in the dataset: 0.0000 eV per atom.

***

The following is a PBE calculation of a geometry-optimized TbTlO3 structure, from OQMD.

Lattice parameters (Å, degrees): 5.8828 8.4837 5.8015 90.00 90.00 90.00
Space group Pnma (No. 62)
Symmetry-distinct sites (fractional):
Tb: 0.0000 0.0000 0.0000 [4 per cell]
Tl: 0.0438 0.2500 0.4926 [4 per cell]
O: 0.1035 0.7500 0.1304 [4 per cell]
O: 0.1716 0.5730 0.6676 [8 per cell]

Calculated values
The electronic total energy is -6.392 eV/atom. As for the volume: 14.5 Å³ per atom.

***

The following is a PBE calculation of a geometry-optimized Er4Tm3Ni2S2 structure, from OQMD.

Lattice parameters (Å, degrees): 3.7160 14.6784 9.0404 90.00 90.00 90.00
Space group Imm2 (No. 44)
Symmetry-distinct sites (fractional):
Er: 0.0000 0.1203 0.0000 [4 per cell]
Er: 0.0000 0.3655 0.1557 [4 per cell]
Tm: 0.0000 0.0000 0.4039 [2 per cell]
Tm: 0.0000 0.3155 0.7933 [4 per cell]
Ni: 0.0000 0.2393 0.4895 [4 per cell]
S: 0.0000 0.0000 0.7496 [2 per cell]
S: 0.0000 0.5000 0.6572 [2 per cell]

Calculated values
The electronic total energy is -5.504 eV/atom. As for the volume: 22.4 Å³ per atom.

***

The following is a PBE calculation of a geometry-optimized Er2Tm2C3 structure, from OQMD.

Lattice parameters (Å, degrees): 12.7924 3.6328 6.0274 90.00 115.19 90.00
Space group C2/m (No. 12)
Symmetry-distinct sites (fractional):
Er: 0.1358 0.0000 0.4954 [4 per cell]
Tm: 0.1327 0.5000 0.9463 [4 per cell]
C: 0.0000 0.5000 0.5000 [2 per cell]
C: 0.2220 0.0000 0.2108 [4 per cell]

Calculated values
As for the volume: 18.1 Å³ per atom. As for the excess energy over the best structure of this formula in the dataset: 0.0000 eV per atom.